SmEuZnAg | PBE | optimized geometry

Calculated values
**DFT total energy**: -5.043 eV/atom
**Calculated volume**: 103.5 Å³ per cell

abc: 5.2693 5.2693 5.2693
angles: 60.00 60.00 60.00
Closest atoms and distances in Å follow each position.
Sites, in units of the cell vectors:
Sm (0.5000, 0.5000, 0.5000)  4 Zn 3.23, 4 Ag 3.23
Zn (0.7500, 0.7500, 0.7500)  4 Eu 3.23, 4 Sm 3.23
Eu (0.0000, 0.0000, 0.0000)  4 Ag 3.23, 4 Zn 3.23
Ag (0.2500, 0.2500, 0.2500)  4 Sm 3.23, 4 Eu 3.23

***

EuAg2Sn | PBE | optimized geometry

Calculated values
**DFT total energy**: -5.335 eV/atom
**Calculated volume**: 92.6 Å³ per cell

abc: 5.0856 5.0775 5.0861
angles: 59.78 90.43 120.22
Closest atoms and distances in Å follow each position.
Sites, in units of the cell vectors:
Eu (0.2500, 0.5000, 0.2500)  8 Ag 3.11
Ag (0.9996, 0.0000, 0.9996)  4 Sn 3.11, 4 Eu 3.11
Ag (0.5004, 0.0000, 0.5004)  4 Sn 3.11, 4 Eu 3.11
Sn (0.7500, 0.5000, 0.7500)  8 Ag 3.11

***

EuAg4Sn | PBE | optimized geometry

Calculated values
**DFT total energy**: -4.529 eV/atom
**Calculated volume**: 130.3 Å³ per cell

abc: 5.6910 5.6910 5.6910
angles: 60.00 60.00 60.00
Closest atoms and distances in Å follow each position.
Sites, in units of the cell vectors:
Eu (0.0000, 0.0000, 0.0000)  12 Ag 3.34, 4 Sn 3.49
Ag (0.1249, 0.6250, 0.6250)  6 Ag 2.84-2.85
Ag (0.6250, 0.1249, 0.6250)  6 Ag 2.84-2.85
Ag (0.6250, 0.6250, 0.1249)  6 Ag 2.84-2.85
Ag (0.6250, 0.6250, 0.6250)  6 Ag 2.84-2.85
Sn (0.2500, 0.2500, 0.2500)  12 Ag 3.34, 4 Eu 3.49

***

Eu2AgSn | PBE | optimized geometry

Calculated values
**DFT total energy**: -7.354 eV/atom
**Calculated volume**: 116.8 Å³ per cell

abc: 3.7672 5.5687 5.5687
angles: 90.00 90.00 90.00
Closest atoms and distances in Å follow each position.
Sites, in units of the cell vectors:
Sn (0.5000, 0.0000, 0.0000)  8 Eu 3.36
Eu (0.0000, 0.0000, 0.5000)  4 Sn 3.36, 4 Ag 3.36
Eu (0.0000, 0.5000, 0.0000)  4 Ag 3.36, 4 Sn 3.36
Ag (0.5000, 0.5000, 0.5000)  8 Eu 3.36

***

Eu2AgSn | PBE | optimized geometry

Calculated values
**DFT total energy**: -7.370 eV/atom
**Calculated volume**: 116.3 Å³ per cell

abc: 5.4794 5.4794 5.4794
angles: 60.00 60.00 60.00
Closest atoms and distances in Å follow each position.
Sites, in units of the cell vectors:
Sn (0.7500, 0.7500, 0.7500)  8 Eu 3.36
Ag (0.2500, 0.2500, 0.2500)  8 Eu 3.36
Eu (0.0000, 0.0000, 0.0000)  4 Sn 3.36, 4 Ag 3.36
Eu (0.5000, 0.5000, 0.5000)  4 Sn 3.36, 4 Ag 3.36

***

Eu2AgSn | PBE | optimized geometry

Calculated values
**DFT total energy**: -7.128 eV/atom
**Calculated volume**: 128.2 Å³ per cell

abc: 4.0012 4.0012 9.5298
angles: 77.88 77.88 60.00
Closest atoms and distances in Å follow each position.
Sites, in units of the cell vectors:
Sn (0.5000, 0.5000, 0.5000)  6 Eu 3.33
Eu (0.2533, 0.2533, 0.2401)  3 Ag 3.20, 3 Sn 3.33
Eu (0.7467, 0.7467, 0.7599)  3 Ag 3.20, 3 Sn 3.33
Ag (0.0000, 0.0000, 0.0000)  6 Eu 3.20

***

EuAg2Sn | PBE | optimized geometry

Calculated values
**DFT total energy**: -5.209 eV/atom
**Calculated volume**: 96.8 Å³ per cell

abc: 4.3537 4.7148 4.7148
angles: 90.00 90.00 90.00
Closest atoms and distances in Å follow each position.
Sites, in units of the cell vectors:
Ag (0.0000, 0.5000, 0.0000)  4 Sn 3.21, 4 Eu 3.21, 4 Ag 3.33
Ag (0.0000, 0.0000, 0.5000)  4 Sn 3.21, 4 Eu 3.21, 4 Ag 3.33
Sn (0.5000, 0.0000, 0.0000)  8 Ag 3.21, 4 Eu 3.33
Eu (0.5000, 0.5000, 0.5000)  8 Ag 3.21, 4 Sn 3.33

***

TbEuAgSn | PBE | optimized geometry

Calculated values
**DFT total energy**: -5.964 eV/atom
**Calculated volume**: 108.9 Å³ per cell

abc: 5.3596 5.3596 5.3596
angles: 60.00 60.00 60.00
Closest atoms and distances in Å follow each position.
Sites, in units of the cell vectors:
Tb (0.5000, 0.5000, 0.5000)  4 Sn 3.28, 4 Ag 3.28
Eu (0.0000, 0.0000, 0.0000)  4 Ag 3.28, 4 Sn 3.28
Sn (0.2500, 0.2500, 0.2500)  4 Eu 3.28, 4 Tb 3.28
Ag (0.7500, 0.7500, 0.7500)  4 Eu 3.28, 4 Tb 3.28

***

Please write out number 7 again, unchanged.
EuAg2Sn | PBE | optimized geometry

Calculated values
**DFT total energy**: -5.209 eV/atom
**Calculated volume**: 96.8 Å³ per cell

abc: 4.3537 4.7148 4.7148
angles: 90.00 90.00 90.00
Closest atoms and distances in Å follow each position.
Sites, in units of the cell vectors:
Ag (0.0000, 0.5000, 0.0000)  4 Sn 3.21, 4 Eu 3.21, 4 Ag 3.33
Ag (0.0000, 0.0000, 0.5000)  4 Sn 3.21, 4 Eu 3.21, 4 Ag 3.33
Sn (0.5000, 0.0000, 0.0000)  8 Ag 3.21, 4 Eu 3.33
Eu (0.5000, 0.5000, 0.5000)  8 Ag 3.21, 4 Sn 3.33

***

Question: What is the DFT total energy in the seventh record?
Answer: -5.209 eV/atom